No. 1
This record from the Alexandria database describes a relaxed LiTiHg3 crystal. The functional is PBE. Values from VASP.

DFT formation energy: 0.3627 eV/atom

```
&SYSTEM
  ibrav = 0, nat = 5, ntyp = 3
/
ATOMIC_SPECIES
Li 6.94 Li.upf
Ti 47.87 Ti.upf
Hg 200.59 Hg.upf
CELL_PARAMETERS angstrom
4.6798 0.0000 0.0000
0.0000 4.6798 0.0000
0.0000 0.0000 4.6798
ATOMIC_POSITIONS angstrom
Li 0.0000 0.0000 0.0000
Ti 2.3399 2.3399 2.3399
Hg 0.0000 0.0000 2.3399
Hg 0.0000 2.3399 0.0000
Hg 2.3399 0.0000 0.0000
```

No. 2
This record from the Alexandria database describes a relaxed NdH3O3 crystal. The functional is PBE. Values from VASP.

Uncorrected energy: -6.14 eV per atom

```
&SYSTEM
  ibrav = 0, nat = 14, ntyp = 3
/
ATOMIC_SPECIES
Nd 144.24 Nd.upf
H 1.01 H.upf
O 16.00 O.upf
CELL_PARAMETERS angstrom
3.3752 1.9487 4.8068
-3.3752 1.9487 4.8068
0.0000 -3.8973 4.8068
ATOMIC_POSITIONS angstrom
Nd 0.0000 0.0000 2.5349
Nd 0.0000 0.0000 11.8855
H -1.0464 -2.3030 5.0998
H -2.5176 -0.2453 9.3206
H -1.4713 2.0577 5.0998
H 1.4713 -2.0577 9.3206
H 2.5176 0.2453 5.0998
H 1.0464 2.3030 9.3206
O -1.8579 0.7833 3.7569
O 0.2506 -2.0006 3.7569
O -1.6073 -1.2174 10.6636
O 1.6073 1.2174 3.7568
O -0.2506 2.0006 10.6636
O 1.8579 -0.7833 10.6636
```

No. 3
This record from the Alexandria database describes a relaxed Zr2NbS crystal. The functional is PBE. Values from VASP.

Uncorrected energy: -8.36 eV per atom

```
&SYSTEM
  ibrav = 0, nat = 12, ntyp = 3
/
ATOMIC_SPECIES
Zr 91.22 Zr.upf
Nb 92.91 Nb.upf
S 32.06 S.upf
CELL_PARAMETERS angstrom
3.3663 0.0000 0.0000
-1.6831 2.9153 0.0000
0.0000 0.0000 24.4850
ATOMIC_POSITIONS angstrom
Zr 0.0000 0.0000 0.0000
Zr 0.0000 0.0000 4.5325
Zr 0.0000 1.9435 16.3233
Zr 0.0000 1.9435 20.8559
Zr 1.6831 0.9718 8.1617
Zr 1.6831 0.9718 12.6942
Nb 0.0000 0.0000 18.5912
Nb 0.0000 1.9435 10.4296
Nb 1.6831 0.9718 2.2679
S 0.0000 0.0000 14.4741
S 0.0000 1.9435 6.3124
S 1.6831 0.9718 22.6357
```